PuMg2NpN4 | PBE | relaxed

Lattice parameters (Å, degrees): 3.4022 5.5763 5.8960 69.46 90.00 90.00
Site moments in Bohr magnetons follow the coordinates.
Sites, in units of the cell vectors:
Pu: 0.5000 0.5000 0.0000  4.53
Mg: 0.0000 0.0000 0.0000  0.00
Mg: 0.5000 0.0000 0.5000  0.00
Np: 0.0000 0.5000 0.5000  2.85
N: 0.0000 0.7380 0.7456  -0.15
N: 0.0000 0.2620 0.2544  -0.15
N: 0.5000 0.7427 0.2585  -0.13
N: 0.5000 0.2573 0.7415  -0.13

---

MnSb2Pd7 | PBE | relaxed

Lattice parameters (Å, degrees): 4.0302 4.0302 11.3459 100.23 100.23 90.00
Site moments in Bohr magnetons follow the coordinates.
Sites, in units of the cell vectors:
Mn: 0.0000 0.0000 0.0000  3.98
Sb: 0.6669 0.6669 0.3337  -0.02
Sb: 0.3331 0.3331 0.6663  -0.02
Pd: 0.0876 0.5876 0.1752  0.05
Pd: 0.4124 0.9124 0.8248  0.05
Pd: 0.5876 0.0876 0.1752  0.05
Pd: 0.5000 0.5000 0.0000  0.10
Pd: 0.7500 0.2500 0.5000  -0.02
Pd: 0.9124 0.4124 0.8248  0.05
Pd: 0.2500 0.7500 0.5000  -0.02

---

The calculation returns the following formation energy without anion corrections values, one per record and in order: -0.992, -0.343 eV/atom.